(1)
Ga2Re2Si, optimized geometry, DFT PBE-GGA; magnetization = 0.0 Bohr magnetons per cell; total energy = -7.14 eV/atom; ΔE_f (raw) = 137 meV/atom; density of states at the Fermi level = 3.37 states/eV/f.u.
1.0
6.3732 0.0000 0.0000
0.0000 6.3732 0.0000
0.0000 0.0000 3.8554
Ga Re Si
4 4 2
Cartesian
0.9735 2.2131 0.0000
2.2131 5.3997 0.0000
4.1601 0.9735 0.0000
5.3997 4.1601 0.0000
0.9620 4.1486 1.9277
2.2246 0.9620 1.9277
4.1486 5.4112 1.9277
5.4112 2.2246 1.9277
0.0000 0.0000 1.9277
3.1866 3.1866 1.9277



(2)
PaReS4, optimized geometry, DFT PBE-GGA; magnetization = 0.0 Bohr magnetons per cell; total energy = -7.29 eV/atom; ΔE_f (raw) = -877 meV/atom; density of states at the Fermi level = 1.91 states/eV/f.u.
1.0
6.9678 0.0000 0.0000
0.0000 5.7767 0.0000
-2.8685 0.0000 6.2546
Pa Re S
2 2 8
Cartesian
0.0000 0.0000 0.0000
-1.4343 2.8884 3.1273
3.4839 0.0000 0.0000
2.0496 2.8884 3.1273
0.4642 1.3784 2.2062
-0.9701 1.5100 5.3335
1.9058 4.3134 1.1602
0.4715 4.3517 4.2875
3.6277 1.4250 1.9671
2.1935 1.4633 5.0944
5.0693 4.2667 0.9210
3.6351 4.3984 4.0483



(3)
AcInNiAg2, optimized geometry, DFT PBE-GGA; magnetization = 0.0 Bohr magnetons per cell; total energy = -3.90 eV/atom; density of states at the Fermi level = 3.07 states/eV/f.u.
1.0
-2.0473 2.2330 6.2516
2.0473 -2.2330 6.2516
2.0473 2.2330 -6.2516
Ac In Ni Ag
1 1 1 2
Cartesian
0.0000 0.0000 0.0000
2.0473 0.0000 3.3523
0.0000 0.0000 5.1032
0.0000 0.0000 7.7175
0.0000 2.2330 3.4924



(4)
AcH6Pd2Pt2, optimized geometry, DFT PBE-GGA; magnetization = 0.0 Bohr magnetons per cell; total energy = -4.58 eV/atom; density of states at the Fermi level = 0.57 states/eV/f.u.
1.0
4.9886 0.0000 0.0000
0.7210 5.4184 0.0000
2.2974 1.7319 4.8404
Ac H Pd Pt
1 6 2 2
Cartesian
0.0000 0.0000 0.0000
1.3483 2.2712 0.8226
3.1004 5.3731 1.1941
3.5264 3.0707 1.5062
4.4805 4.0796 3.3342
4.9066 1.7771 3.6463
6.6587 4.8791 4.0179
2.7304 4.2043 2.6777
5.2766 2.9459 2.1627
2.6678 1.5202 1.6769
5.3391 5.6300 3.1636



(5)
LiTl4In4, optimized geometry, DFT PBE-GGA; magnetization = 0.0 Bohr magnetons per cell; total energy = -2.50 eV/atom; density of states at the Fermi level = 5.06 states/eV/f.u.
1.0
-4.9693 4.9693 2.5023
4.9693 -4.9693 2.5023
4.9693 4.9693 -2.5023
Li Tl In
1 4 4
Cartesian
0.0000 0.0000 0.0000
3.2195 0.0000 0.0000
6.7192 0.0000 0.0000
0.0000 3.2195 0.0000
0.0000 6.7192 0.0000
3.3650 3.3650 0.0000
1.6043 -1.6043 2.5023
-1.6043 1.6043 2.5023
1.6043 1.6043 2.5023



(6)
Sm3Se4, optimized geometry, DFT PBE-GGA; magnetization = 0.0 Bohr magnetons per cell; total energy = -5.81 eV/atom; ΔE_f (raw) = -1798 meV/atom; density of states at the Fermi level = 2.37 states/eV/f.u.; offset from the most stable computed form = 0.036 eV per atom
1.0
2.1091 1.2177 13.7466
-2.1091 1.2177 13.7466
0.0000 -2.4354 13.7466
Sm Se
3 4
Cartesian
0.0000 0.0000 0.0000
0.0000 0.0000 10.1335
0.0000 0.0000 31.1061
0.0000 0.0000 5.0322
0.0000 0.0000 15.4637
0.0000 0.0000 25.7759
0.0000 0.0000 36.2074



(7)
RbNd2Tc2N6, optimized geometry, DFT PBE-GGA; magnetization = 0.0 Bohr magnetons per cell; total energy = -7.83 eV/atom; ΔE_f (raw) = -448 meV/atom; density of states at the Fermi level = 3.67 states/eV/f.u.
1.0
6.3647 0.0000 0.0000
-3.0061 6.1313 0.0000
-2.8929 -2.2303 5.8758
Rb Nd Tc N
1 2 2 6
Cartesian
0.0000 0.0000 0.0000
-0.5826 3.4935 1.6809
1.0482 0.4076 4.1950
-2.4996 2.5099 4.0174
2.9652 1.3912 1.8584
-3.6790 1.9814 5.3235
-2.4654 4.2299 3.5423
-0.8406 1.8619 4.0801
1.3063 2.0392 1.7957
2.9310 -0.3289 2.3336
4.1447 1.9197 0.5523



(8)
Rb5In2Au5, optimized geometry, DFT PBE-GGA; magnetization = 0.0 Bohr magnetons per cell; total energy = -2.42 eV/atom; density of states at the Fermi level = 5.98 states/eV/f.u.
1.0
7.5488 -2.3460 0.0000
7.5488 2.3460 0.0000
-5.2479 0.0000 12.3666
Rb In Au
5 2 5
Cartesian
0.0000 0.0000 0.0000
2.6048 0.0000 6.2038
4.9377 0.0000 2.8621
4.9121 0.0000 9.5046
7.2450 0.0000 6.1628
0.5409 0.0000 9.4096
9.3089 0.0000 2.9570
-2.6239 0.0000 6.1833
0.3617 0.0000 3.4374
-0.9121 0.0000 11.7549
10.7619 0.0000 0.6117
9.4881 0.0000 8.9293



(9)
KBa3Te, optimized geometry, DFT PBE-GGA; magnetization = 2.9 Bohr magnetons per cell; total energy = -1.64 eV/atom; ΔE_f (raw) = 363 meV/atom; density of states at the Fermi level = 3.64 states/eV/f.u.; offset from the most stable computed form = 0.890 eV per atom
1.0
6.7066 0.0000 0.0000
0.0000 6.7066 0.0000
0.0000 0.0000 6.7066
K Ba Te
1 3 1
Cartesian
0.0000 0.0000 0.0000
0.0000 0.0000 3.3533
0.0000 3.3533 0.0000
3.3533 0.0000 0.0000
3.3533 3.3533 3.3533



(10)
LaZr2Cr, optimized geometry, DFT PBE-GGA; magnetization = 2.3 Bohr magnetons per cell; total energy = -7.55 eV/atom; density of states at the Fermi level = 4.81 states/eV/f.u.; offset from the most stable computed form = 0.159 eV per atom
1.0
3.2949 0.0000 0.0000
0.0000 4.7475 0.0000
-1.5436 0.0000 5.9446
La Zr Cr
1 2 1
Cartesian
0.0000 0.0000 0.0000
-0.0922 2.3738 4.2454
1.8435 2.3738 1.6992
0.8757 0.0000 2.9723



(11)
MnSiAg2Se4, optimized geometry, DFT PBE-GGA; magnetization = 10.0 Bohr magnetons per cell; total energy = -4.59 eV/atom; ΔE_f (raw) = -314 meV/atom; offset from the most stable computed form = 0.000 eV per atom
1.0
8.0196 0.0000 0.0000
0.0000 7.3327 0.0000
0.0000 0.0000 6.8735
Mn Si Ag Se
2 2 4 8
Cartesian
0.0000 1.0619 0.0000
4.0098 6.2707 3.4368
0.0000 6.0934 3.4750
4.0098 1.2393 0.0382
1.9434 2.3510 3.6145
2.0664 4.9817 0.1777
5.9532 4.9817 0.1777
6.0762 2.3510 3.6145
0.0000 0.8660 2.5447
0.0000 6.1348 5.7854
1.8980 4.9269 2.8075
2.1118 2.4058 6.2442
4.0098 1.1978 2.3486
4.0098 6.4667 5.9815
5.9078 2.4058 6.2442
6.1216 4.9269 2.8075



(12)
Ta4AlRu5, optimized geometry, DFT PBE-GGA; magnetization = 0.0 Bohr magnetons per cell; total energy = -10.21 eV/atom; density of states at the Fermi level = 7.61 states/eV/f.u.
1.0
3.0836 0.0000 0.0000
0.0000 3.0836 0.0000
0.0000 0.0000 16.3564
Ta Al Ru
4 1 5
Cartesian
0.0000 0.0000 1.7083
0.0000 0.0000 5.0840
0.0000 0.0000 11.2725
0.0000 0.0000 14.6481
0.0000 0.0000 8.1782
1.5418 1.5418 0.0000
1.5418 1.5418 3.4608
1.5418 1.5418 6.6605
1.5418 1.5418 9.6959
1.5418 1.5418 12.8956